(1)
First-principles (PBE) data for crystalline HgOsPt2 at its relaxed geometry, as listed in Alexandria via LeMat-Bulk.

Unit cell a=6.437 b=6.437 c=6.437 alpha=90.00 beta=90.00 gamma=90.00
Space group F-43m (No. 216)
Inequivalent atoms, fractional coordinates:
Hg: 0.000 0.000 0.000 x4
Os: 0.250 0.250 0.750 x4
Pt: 0.000 0.000 0.500 x4
Pt: 0.250 0.250 0.250 x4

Results
DFT formation energy, eV/atom: 0.59
Crystal system: cubic
E, eV per cell: -85.07
DOS(E_F), states/eV/cell: 13.0

=====

(2)
First-principles (PBE) data for crystalline Hg2OsPt at its relaxed geometry, as listed in Alexandria via LeMat-Bulk.

Unit cell a=6.015 b=8.312 c=2.842 alpha=90.00 beta=90.00 gamma=90.00
Space group Cmmm (No. 65)
Inequivalent atoms, fractional coordinates:
Hg: 0.250 0.250 0.000 x4
Os: 0.000 0.000 0.500 x2
Pt: 0.000 0.500 0.500 x2

Results
DFT formation energy, eV/atom: 0.64
Crystal system: orthorhombic
E, eV per cell: -30.66
DOS(E_F), states/eV/cell: 5.6

=====

(3)
First-principles (PBE) data for crystalline Hg2OsPt at its relaxed geometry, as listed in Alexandria via LeMat-Bulk.

Unit cell a=6.582 b=6.582 c=6.582 alpha=90.00 beta=90.00 gamma=90.00
Space group Fm-3m (No. 225)
Inequivalent atoms, fractional coordinates:
Hg: 0.250 0.250 0.250 x8
Os: 0.000 0.000 0.000 x4
Pt: 0.000 0.000 0.500 x4

Results
DFT formation energy, eV/atom: 0.77
Crystal system: cubic
E, eV per cell: -59.25
DOS(E_F), states/eV/cell: 18.9

=====

(4)
First-principles (PBE) data for crystalline HgOsPt4 at its relaxed geometry, as listed in Alexandria via LeMat-Bulk.

Unit cell a=7.464 b=7.464 c=7.464 alpha=90.00 beta=90.00 gamma=90.00
Space group F-43m (No. 216)
Inequivalent atoms, fractional coordinates:
Hg: 0.000 0.000 0.000 x4
Os: 0.250 0.250 0.750 x4
Pt: 0.125 0.125 0.375 x16

Results
DFT formation energy, eV/atom: 0.57
Crystal system: cubic
E, eV per cell: -129.04
DOS(E_F), states/eV/cell: 22.1

=====

Among the records above, which one has the highest E?
number 2

=====

Which of these has the lowest E?
HgOsPt4

=====

Look up the DOS(E_F) of the third one.
18.9 states/eV/cell